## a
First-principles (GGA-PBE) data for Tc2SeS after structural relaxation, as listed in Alexandria via LeMat-Bulk.

Output
space group = Fm-3m, No. 225

a = 4.315 Å, b = 4.315 Å, c = 4.315 Å
α = 60.00°, β = 60.00°, γ = 60.00°
Fractional positions:
Tc  0.750  0.750  0.750
Tc  0.250  0.250  0.250
S  0.000  0.000  0.000
Se  0.500  0.500  0.500

## b
First-principles (GGA-PBE) data for Tc2SeS after structural relaxation, as listed in Alexandria via LeMat-Bulk.

Output
space group = I-42d, No. 122

a = 5.398 Å, b = 5.398 Å, c = 6.580 Å
α = 65.78°, β = 65.78°, γ = 90.00°
Fractional positions:
Tc  0.152  0.625  0.250
Tc  0.375  0.402  0.750
Tc  0.875  0.848  0.750
Tc  0.598  0.125  0.250
S  0.500  0.500  0.000
S  0.250  0.750  0.500
Se  0.750  0.250  0.500
Se  0.000  0.000  0.000

Which one is most stable, and which one is least stable? b is the most stable of them, while a is the least stable.

## a
First-principles (GGA-PBE) data for TeSe2S after structural relaxation, as listed in Alexandria via LeMat-Bulk.

Output
space group = Cm, No. 8

a = 3.431 Å, b = 8.314 Å, c = 5.689 Å
α = 120.00°, β = 72.45°, γ = 78.09°
Fractional positions:
Se  0.043  0.171  0.744
Se  0.366  0.032  0.236
S  0.401  0.694  0.504
Te  0.690  0.603  0.017

## b
First-principles (GGA-PBE) data for TeSe2S after structural relaxation, as listed in Alexandria via LeMat-Bulk.

Output
space group = R-3m, No. 166

a = 8.540 Å, b = 8.540 Å, c = 8.540 Å
α = 27.54°, β = 27.54°, γ = 27.54°
Fractional positions:
S  0.000  0.000  0.000
Se  0.094  0.094  0.094
Se  0.906  0.906  0.906
Te  0.500  0.500  0.500

Which one is most stable, and which one is least stable? a is the most stable of them, while b is the least stable.

## a
First-principles (GGA-PBE) data for TeSe2S after structural relaxation, as listed in Alexandria via LeMat-Bulk.

Output
space group = I-42d, No. 122

a = 7.254 Å, b = 7.254 Å, c = 6.440 Å
α = 55.72°, β = 55.72°, γ = 90.00°
Fractional positions:
Se  0.146  0.625  0.250
Se  0.375  0.396  0.750
Se  0.604  0.125  0.250
Se  0.875  0.854  0.750
S  0.500  0.500  0.000
S  0.250  0.750  0.500
Te  0.000  0.000  0.000
Te  0.750  0.250  0.500

## b
First-principles (GGA-PBE) data for TeSe2S after structural relaxation, as listed in Alexandria via LeMat-Bulk.

Output
space group = Fm-3m, No. 225

a = 4.921 Å, b = 4.921 Å, c = 4.921 Å
α = 60.00°, β = 60.00°, γ = 60.00°
Fractional positions:
Se  0.750  0.750  0.750
Se  0.250  0.250  0.250
S  0.000  0.000  0.000
Te  0.500  0.500  0.500

Which one is most stable, and which one is least stable? a is the most stable of them, while b is the least stable.

## a
First-principles (GGA-PBE) data for TeSe3S after structural relaxation, as listed in Alexandria via LeMat-Bulk.

Output
space group = Pm-3m, No. 221

a = 5.398 Å, b = 5.398 Å, c = 5.398 Å
α = 90.00°, β = 90.00°, γ = 90.00°
Site moments in Bohr magnetons follow the coordinates.
Fractional positions:
Se  0.000  0.000  0.500  0.35
Se  0.500  0.000  0.000  0.36
Se  0.000  0.500  0.000  0.30
Te  0.000  0.000  0.000  -0.04
S  0.500  0.500  0.500  1.18

## b
First-principles (GGA-PBE) data for TeSe3S after structural relaxation, as listed in Alexandria via LeMat-Bulk.

Output
space group = Pm-3m, No. 221

a = 4.903 Å, b = 4.903 Å, c = 4.903 Å
α = 90.00°, β = 90.00°, γ = 90.00°
Fractional positions:
Se  0.000  0.000  0.500
Se  0.000  0.500  0.000
Se  0.500  0.000  0.000
Te  0.500  0.500  0.500
S  0.000  0.000  0.000

Which one is most stable, and which one is least stable? b is the most stable of them, while a is the least stable.

## a
First-principles (GGA-PBE) data for TeSeS after structural relaxation, as listed in Alexandria via LeMat-Bulk.

Output
space group = P2_1/m, No. 11

a = 3.913 Å, b = 9.670 Å, c = 9.241 Å
α = 87.46°, β = 90.00°, γ = 90.00°
Fractional positions:
Te  0.250  0.387  0.873
Te  0.250  0.887  0.373
Te  0.750  0.613  0.127
Te  0.750  0.113  0.627
S  0.250  0.146  0.417
S  0.750  0.354  0.083
S  0.250  0.646  0.917
S  0.750  0.854  0.583
Se  0.250  0.577  0.340
Se  0.250  0.077  0.840
Se  0.750  0.423  0.660
Se  0.750  0.923  0.160

## b
First-principles (GGA-PBE) data for TeSeS after structural relaxation, as listed in Alexandria via LeMat-Bulk.

Output
space group = P-1, No. 2

a = 6.556 Å, b = 11.981 Å, c = 6.995 Å
α = 29.35°, β = 108.52°, γ = 98.38°
Fractional positions:
Te  0.735  0.679  0.149
Te  0.265  0.321  0.851
S  0.395  0.883  0.919
S  0.605  0.117  0.081
Se  0.604  0.334  0.491
Se  0.396  0.666  0.509

Which one is most stable, and which one is least stable? a is the most stable of them, while b is the least stable.

## a
First-principles (GGA-PBE) data for TeSeS3 after structural relaxation, as listed in Alexandria via LeMat-Bulk.

Output
space group = Pc, No. 7

a = 5.408 Å, b = 8.619 Å, c = 9.801 Å
α = 90.00°, β = 119.75°, γ = 90.00°
Fractional positions:
S  0.846  0.403  0.679
S  0.347  0.950  0.179
S  0.094  0.292  0.890
S  0.569  0.938  0.563
S  0.068  0.414  0.063
S  0.594  0.061  0.390
Se  0.502  0.506  0.235
Se  0.002  0.847  0.736
Te  0.111  0.602  0.630
Te  0.611  0.751  0.129

## b
First-principles (GGA-PBE) data for TeSeS3 after structural relaxation, as listed in Alexandria via LeMat-Bulk.

Output
space group = Pm-3m, No. 221

a = 4.791 Å, b = 4.791 Å, c = 4.791 Å
α = 90.00°, β = 90.00°, γ = 90.00°
Fractional positions:
S  0.000  0.500  0.000
S  0.000  0.000  0.500
S  0.500  0.000  0.000
Se  0.000  0.000  0.000
Te  0.500  0.500  0.500

Which one is most stable, and which one is least stable? a is the most stable of them, while b is the least stable.

## a
First-principles (GGA-PBE) data for Th3Se3S after structural relaxation, as listed in Alexandria via LeMat-Bulk.

Output
space group = C2/m, No. 12

a = 7.420 Å, b = 7.420 Å, c = 7.544 Å
α = 89.87°, β = 89.87°, γ = 111.48°
Fractional positions:
Se  0.837  0.163  0.500
Se  0.778  0.222  0.000
Se  0.163  0.837  0.500
Se  0.623  0.623  0.360
Se  0.222  0.778  0.000
Se  0.377  0.377  0.640
Th  0.817  0.507  0.684
Th  0.183  0.493  0.316
Th  0.941  0.941  0.221
Th  0.059  0.059  0.779
Th  0.493  0.183  0.316
Th  0.507  0.817  0.684
S  0.743  0.743  0.926
S  0.257  0.257  0.074

## b
First-principles (GGA-PBE) data for Th3Se3S after structural relaxation, as listed in Alexandria via LeMat-Bulk.

Output
space group = Imma, No. 74

a = 8.246 Å, b = 8.246 Å, c = 8.285 Å
α = 59.84°, β = 59.84°, γ = 59.29°
Fractional positions:
Se  0.264  0.736  0.000
Se  0.741  0.741  0.509
Se  0.736  0.264  0.000
Se  0.259  0.259  0.491
Se  0.264  0.736  0.500
Se  0.736  0.264  0.500
Th  0.000  0.500  0.239
Th  0.998  0.998  0.752
Th  0.000  0.500  0.761
Th  0.002  0.002  0.248
Th  0.500  0.000  0.761
Th  0.500  0.000  0.239
S  0.253  0.253  0.997
S  0.747  0.747  0.003

Which one is most stable, and which one is least stable? b is the most stable of them, while a is the least stable.

## a
First-principles (GGA-PBE) data for Ti3Se2S4 after structural relaxation, as listed in Alexandria via LeMat-Bulk.

Output
space group = P3m1, No. 156

a = 3.453 Å, b = 3.453 Å, c = 19.367 Å
α = 90.00°, β = 90.00°, γ = 120.00°
Fractional positions:
S  0.333  0.667  0.258
S  0.000  0.000  0.741
S  0.000  0.000  0.403
S  0.000  0.000  0.078
Ti  0.667  0.333  0.330
Ti  0.667  0.333  0.009
Ti  0.667  0.333  0.671
Se  0.333  0.667  0.586
Se  0.333  0.667  0.924

## b
First-principles (GGA-PBE) data for Ti3Se2S4 after structural relaxation, as listed in Alexandria via LeMat-Bulk.

Output
space group = P3m1, No. 156

a = 3.390 Å, b = 3.390 Å, c = 20.858 Å
α = 90.00°, β = 90.00°, γ = 120.00°
Fractional positions:
S  0.000  0.000  0.578
S  0.000  0.000  0.722
S  0.667  0.333  0.258
S  0.667  0.333  0.401
Se  0.667  0.333  0.059
Se  0.667  0.333  0.901
Ti  0.000  0.000  0.330
Ti  0.667  0.333  0.650
Ti  0.000  0.000  0.980

Which one is most stable, and which one is least stable? a is the most stable of them, while b is the least stable.

## a
First-principles (GGA-PBE) data for TiSeS after structural relaxation, as listed in Alexandria via LeMat-Bulk.

Output
space group = P3m1, No. 156

a = 3.472 Å, b = 3.472 Å, c = 6.488 Å
α = 90.00°, β = 90.00°, γ = 120.00°
Fractional positions:
Ti  0.333  0.667  0.985
Se  0.667  0.333  0.236
S  0.000  0.000  0.778

## b
First-principles (GGA-PBE) data for TiSeS after structural relaxation, as listed in Alexandria via LeMat-Bulk.

Output
space group = P2_1/c, No. 14

a = 6.161 Å, b = 7.654 Å, c = 8.291 Å
α = 45.56°, β = 90.00°, γ = 90.00°
Fractional positions:
Se  0.654  0.205  0.043
Se  0.154  0.295  0.457
Se  0.846  0.705  0.543
Se  0.346  0.795  0.957
S  0.803  0.576  0.073
S  0.303  0.924  0.427
S  0.197  0.424  0.927
S  0.697  0.076  0.573
Ti  0.534  0.675  0.755
Ti  0.466  0.325  0.245
Ti  0.966  0.175  0.255
Ti  0.034  0.825  0.745

## c
First-principles (GGA-PBE) data for TiSeS after structural relaxation, as listed in Alexandria via LeMat-Bulk.

Output
space group = Pnma, No. 62

a = 3.515 Å, b = 6.243 Å, c = 12.593 Å
α = 90.00°, β = 90.00°, γ = 90.00°
Fractional positions:
S  0.250  0.387  0.646
S  0.750  0.613  0.354
S  0.250  0.113  0.146
S  0.750  0.887  0.854
Ti  0.250  0.386  0.285
Ti  0.250  0.114  0.785
Ti  0.750  0.614  0.715
Ti  0.750  0.886  0.215
Se  0.250  0.870  0.625
Se  0.250  0.630  0.125
Se  0.750  0.130  0.375
Se  0.750  0.370  0.875

Which one is most stable, and which one is least stable? a is the most stable of them, while b is the least stable.

## a
First-principles (GGA-PBE) data for Ti2Se2S after structural relaxation, as listed in Alexandria via LeMat-Bulk.

Output
space group = R-3m, No. 166

a = 3.535 Å, b = 3.535 Å, c = 9.532 Å
α = 79.32°, β = 79.32°, γ = 60.00°
Fractional positions:
Se  0.228  0.228  0.317
Se  0.772  0.772  0.683
S  0.000  0.000  0.000
Ti  0.383  0.383  0.852
Ti  0.617  0.617  0.148

## b
First-principles (GGA-PBE) data for Ti2Se2S after structural relaxation, as listed in Alexandria via LeMat-Bulk.

Output
space group = P4/mbm, No. 127

a = 7.019 Å, b = 7.019 Å, c = 3.466 Å
α = 90.00°, β = 90.00°, γ = 90.00°
Fractional positions:
Ti  0.352  0.852  0.000
Ti  0.148  0.352  0.000
Ti  0.852  0.648  0.000
Ti  0.648  0.148  0.000
S  0.500  0.500  0.000
S  0.000  0.000  0.000
Se  0.642  0.858  0.500
Se  0.358  0.142  0.500
Se  0.142  0.642  0.500
Se  0.858  0.358  0.500

Which one is most stable, and which one is least stable? a is the most stable of them, while b is the least stable.

## a
First-principles (GGA-PBE) data for Ti3SeS after structural relaxation, as listed in Alexandria via LeMat-Bulk.

Output
space group = Pm-3m, No. 221

a = 4.514 Å, b = 4.514 Å, c = 4.514 Å
α = 90.00°, β = 90.00°, γ = 90.00°
Site moments in Bohr magnetons follow the coordinates.
Fractional positions:
Ti  0.500  0.000  0.000  0.44
Ti  0.000  0.000  0.500  0.31
Ti  0.000  0.500  0.000  0.46
S  0.000  0.000  0.000  -0.01
Se  0.500  0.500  0.500  0.00

## b
First-principles (GGA-PBE) data for Ti3SeS after structural relaxation, as listed in Alexandria via LeMat-Bulk.

Output
space group = C2/m, No. 12

a = 3.386 Å, b = 7.136 Å, c = 7.890 Å
α = 100.07°, β = 102.39°, γ = 90.00°
Fractional positions:
Ti  0.015  0.833  0.031
Ti  0.819  0.486  0.639
Ti  0.181  0.514  0.361
Ti  0.985  0.167  0.969
Ti  0.672  0.103  0.344
Ti  0.328  0.897  0.656
Se  0.573  0.369  0.145
Se  0.427  0.631  0.855
S  0.170  0.852  0.339
S  0.830  0.148  0.661

Which one is most stable, and which one is least stable? b is the most stable of them, while a is the least stable.

## a
First-principles (GGA-PBE) data for TlSe2S2 after structural relaxation, as listed in Alexandria via LeMat-Bulk.

Output
space group = P2_1/m, No. 11

a = 4.997 Å, b = 6.148 Å, c = 13.364 Å
α = 90.00°, β = 53.06°, γ = 90.00°
Fractional positions:
Se  0.684  0.250  0.074
Se  0.663  0.250  0.594
Se  0.333  0.750  0.404
Se  0.313  0.750  0.924
S  0.868  0.750  0.239
S  0.177  0.250  0.908
S  0.128  0.250  0.759
S  0.820  0.750  0.091
Tl  0.617  0.250  0.357
Tl  0.380  0.750  0.641

## b
First-principles (GGA-PBE) data for TlSe2S2 after structural relaxation, as listed in Alexandria via LeMat-Bulk.

Output
space group = P4/mbm, No. 127

a = 8.852 Å, b = 8.852 Å, c = 3.899 Å
α = 90.00°, β = 90.00°, γ = 90.00°
Fractional positions:
Tl  0.500  0.500  0.000
Tl  0.000  0.000  0.000
Se  0.774  0.274  0.500
Se  0.274  0.226  0.500
Se  0.226  0.726  0.500
Se  0.726  0.774  0.500
S  0.674  0.174  0.000
S  0.326  0.826  0.000
S  0.174  0.326  0.000
S  0.826  0.674  0.000

Which one is most stable, and which one is least stable? a is the most stable of them, while b is the least stable.